Compound: TbDy2Tm5In
Source: Alexandria via LeMat-Bulk
Functional: PBE
Structure: relaxed

Calculated values
uncorrected energy	-4.33	eV/atom
total magnetization	0.0	μB per formula unit
formation enthalpy at 0 K	-0.001	eV per atom
space group	Cmcm

Cell lengths 10.3755, 10.3755, 10.3386 Å; angles 90.00, 90.00, 150.53 degrees
Element x y z (fractional)
Tb (0.2087, 0.7913, 0.7500)
Tb (0.7913, 0.2087, 0.2500)
Dy (0.1163, 0.8837, 0.0381)
Dy (0.1163, 0.8837, 0.4619)
Dy (0.8837, 0.1163, 0.5381)
Dy (0.8837, 0.1163, 0.9619)
Tm (0.0098, 0.9902, 0.7500)
Tm (0.2885, 0.7115, 0.0508)
Tm (0.2885, 0.7115, 0.4492)
Tm (0.3833, 0.6167, 0.7500)
Tm (0.5000, 0.5000, 0.0000)
Tm (0.5000, 0.5000, 0.5000)
Tm (0.6167, 0.3833, 0.2500)
Tm (0.7115, 0.2885, 0.5508)
Tm (0.7115, 0.2885, 0.9492)
Tm (0.9902, 0.0098, 0.2500)
In (0.4041, 0.5959, 0.2500)
In (0.5959, 0.4041, 0.7500)